Record 1
# Si2NiHg

A relaxed Si2NiHg crystal (GGA-PBE, Alexandria).

a = 3.7565 Å, b = 3.7565 Å, c = 4.5010 Å
α = 90.00°, β = 90.00°, γ = 90.00°
Positions (direct):
1 Si 0.0000 0.5000 0.0000
2 Si 0.5000 0.0000 0.0000
3 Ni 0.0000 0.0000 0.5000
4 Hg 0.5000 0.5000 0.5000

## Properties
For the uncorrected formation energy, the calculation gives 0.473 eV per atom. Its electronic total energy is -3.7597 eV/atom.

***

Record 2
# MgCoTe3

A relaxed MgCoTe3 crystal (GGA-PBE, Alexandria).

a = 5.0829 Å, b = 5.0829 Å, c = 5.0829 Å
α = 90.00°, β = 90.00°, γ = 90.00°
Positions (direct):
1 Mg 0.0000 0.0000 0.0000
2 Co 0.5000 0.5000 0.5000
3 Te 0.0000 0.5000 0.5000
4 Te 0.5000 0.0000 0.5000
5 Te 0.5000 0.5000 0.0000

## Properties
For the uncorrected formation energy, the calculation gives 0.222 eV per atom. Its electronic total energy is -3.4034 eV/atom. The energy above the lowest structure with this stoichiometry comes out at 0.00 eV per formula unit.

***

Record 3
# Li3BiRu

A relaxed Li3BiRu crystal (GGA-PBE, Alexandria).

a = 4.5903 Å, b = 4.5903 Å, c = 4.5903 Å
α = 90.00°, β = 90.00°, γ = 90.00°
Positions (direct):
1 Li 0.0000 0.0000 0.5000
2 Li 0.0000 0.5000 0.0000
3 Li 0.5000 0.0000 0.0000
4 Bi 0.5000 0.5000 0.5000
5 Ru 0.0000 0.0000 0.0000

## Properties
As for the energy of formation from the pure elements: 0.561 eV per atom. Its electronic total energy is -3.2187 eV/atom. The energy above the lowest structure with this stoichiometry comes out at 0.00 eV per formula unit.

***

Record 4
# Cs12Bi3H5

A relaxed Cs12Bi3H5 crystal (GGA-PBE, Alexandria).

a = 17.5604 Å, b = 17.5604 Å, c = 17.5604 Å
α = 109.47°, β = 109.47°, γ = 109.47°
Positions (direct):
1 Cs 0.0245 0.2048 0.1207
2 Cs 0.0245 0.3197 0.9038
3 Cs 0.0841 0.7048 0.6803
4 Cs 0.0841 0.8793 0.4038
5 Cs 0.0962 0.6207 0.4159
6 Cs 0.0962 0.9755 0.6803
7 Cs 0.1207 0.0245 0.2048
8 Cs 0.1207 0.5962 0.9159
9 Cs 0.1803 0.2048 0.5841
10 Cs 0.1803 0.4755 0.5962
11 Cs 0.2048 0.1207 0.0245
12 Cs 0.2048 0.5841 0.1803
13 Cs 0.2952 0.3197 0.9159
14 Cs 0.2952 0.4755 0.3793
15 Cs 0.3197 0.9038 0.0245
16 Cs 0.3197 0.9159 0.2952
17 Cs 0.3793 0.2952 0.4755
18 Cs 0.3793 0.5841 0.9038
19 Cs 0.4038 0.0841 0.8793
20 Cs 0.4038 0.8197 0.5245
21 Cs 0.4159 0.0962 0.6207
22 Cs 0.4159 0.8197 0.7952
23 Cs 0.4755 0.3793 0.2952
24 Cs 0.4755 0.5962 0.1803
25 Cs 0.5245 0.4038 0.8197
26 Cs 0.5245 0.6207 0.7048
27 Cs 0.5841 0.1803 0.2048
28 Cs 0.5841 0.9038 0.3793
29 Cs 0.5962 0.1803 0.4755
30 Cs 0.5962 0.9159 0.1207
31 Cs 0.6207 0.4159 0.0962
32 Cs 0.6207 0.7048 0.5245
33 Cs 0.6803 0.0841 0.7048
34 Cs 0.6803 0.0962 0.9755
35 Cs 0.7048 0.5245 0.6207
36 Cs 0.7048 0.6803 0.0841
37 Cs 0.7952 0.4159 0.8197
38 Cs 0.7952 0.8793 0.9755
39 Cs 0.8197 0.5245 0.4038
40 Cs 0.8197 0.7952 0.4159
41 Cs 0.8793 0.4038 0.0841
42 Cs 0.8793 0.9755 0.7952
43 Cs 0.9038 0.0245 0.3197
44 Cs 0.9038 0.3793 0.5841
45 Cs 0.9159 0.1207 0.5962
46 Cs 0.9159 0.2952 0.3197
47 Cs 0.9755 0.6803 0.0962
48 Cs 0.9755 0.7952 0.8793
49 Bi 0.1250 0.2500 0.3750
50 Bi 0.1250 0.3750 0.7500
51 Bi 0.2500 0.3750 0.1250
52 Bi 0.2500 0.8750 0.6250
53 Bi 0.3750 0.1250 0.2500
54 Bi 0.3750 0.7500 0.1250
55 Bi 0.6250 0.2500 0.8750
56 Bi 0.6250 0.8750 0.7500
57 Bi 0.7500 0.1250 0.3750
58 Bi 0.7500 0.6250 0.8750
59 Bi 0.8750 0.6250 0.2500
60 Bi 0.8750 0.7500 0.6250
61 H 0.0000 0.0000 0.0000
62 H 0.0000 0.0000 0.5000
63 H 0.0000 0.5000 0.0000
64 H 0.0000 0.5000 0.5000
65 H 0.1250 0.7500 0.8750
66 H 0.1250 0.8750 0.2500
67 H 0.2500 0.1250 0.8750
68 H 0.2500 0.6250 0.3750
69 H 0.3750 0.2500 0.6250
70 H 0.3750 0.6250 0.7500
71 H 0.5000 0.0000 0.0000
72 H 0.5000 0.0000 0.5000
73 H 0.5000 0.5000 0.0000
74 H 0.5000 0.5000 0.5000
75 H 0.6250 0.3750 0.2500
76 H 0.6250 0.7500 0.3750
77 H 0.7500 0.3750 0.6250
78 H 0.7500 0.8750 0.1250
79 H 0.8750 0.1250 0.7500
80 H 0.8750 0.2500 0.1250

## Properties
Its electronic total energy is -2.1292 eV/atom.

***

Record 5
# NiSb2Pb

A relaxed NiSb2Pb crystal (GGA-PBE, Alexandria).

a = 5.4252 Å, b = 5.4252 Å, c = 4.0504 Å
α = 90.00°, β = 90.00°, γ = 121.58°
Positions (direct):
1 Ni 0.0000 0.0000 0.0000
2 Sb 0.1689 0.8311 0.5000
3 Sb 0.8311 0.1689 0.5000
4 Pb 0.5000 0.5000 0.0000

## Properties
For the uncorrected formation energy, the calculation gives -0.030 eV per atom. Its electronic total energy is -4.4638 eV/atom.

***

Record 6
# BaCoAs2

A relaxed BaCoAs2 crystal (GGA-PBE, Alexandria).

a = 8.4297 Å, b = 8.4297 Å, c = 8.4297 Å
α = 143.55°, β = 143.55°, γ = 52.50°
Positions (direct):
1 Ba 0.3750 0.6250 0.7500
2 Ba 0.6250 0.3750 0.2500
3 Co 0.1250 0.8750 0.2500
4 Co 0.8750 0.1250 0.7500
5 As 0.0000 0.0000 0.0000
6 As 0.0000 0.0000 0.5000
7 As 0.0000 0.5000 0.0000
8 As 0.5000 0.0000 0.5000

## Properties
As for the energy of formation from the pure elements: -0.470 eV per atom. Its electronic total energy is -5.0519 eV/atom.

***

Record 7
# Th2MgV

A relaxed Th2MgV crystal (GGA-PBE, Alexandria).

a = 11.6571 Å, b = 11.6571 Å, c = 11.6571 Å
α = 16.22°, β = 16.22°, γ = 16.22°
Positions (direct):
1 Th 0.0811 0.0811 0.0811
2 Th 0.9189 0.9189 0.9189
3 Mg 0.5000 0.5000 0.5000
4 V 0.0000 0.0000 0.0000

## Properties
As for the energy of formation from the pure elements: 0.607 eV per atom. Its electronic total energy is -5.7811 eV/atom.

***

Record 8
# LaZr3Sb

A relaxed LaZr3Sb crystal (GGA-PBE, Alexandria).

a = 5.3965 Å, b = 5.3965 Å, c = 5.3965 Å
α = 90.00°, β = 90.00°, γ = 90.00°
Positions (direct):
1 La 0.0000 0.0000 0.0000
2 Zr 0.0000 0.5000 0.5000
3 Zr 0.5000 0.0000 0.5000
4 Zr 0.5000 0.5000 0.0000
5 Sb 0.5000 0.5000 0.5000

## Properties
For the uncorrected formation energy, the calculation gives 0.389 eV per atom. Its electronic total energy is -6.5501 eV/atom. The energy above the lowest structure with this stoichiometry comes out at 0.00 eV per formula unit.